Model i:
# PBE TiSeS2N, optimized geometry
data_TiSeS2N
_chemical_formula_sum 'Ti1 Se1 S2 N1'
_space_group_name_H-M_alt 'P 1'
_space_group_IT_number 1
_space_group_name_Hall 'P 1'
_cell_length_a 4.839
_cell_length_b 4.839
_cell_length_c 3.604
_cell_angle_alpha 90.00
_cell_angle_beta 90.00
_cell_angle_gamma 90.00
loop_
_atom_site_label
_atom_site_type_symbol
_atom_site_fract_x
_atom_site_fract_y
_atom_site_fract_z
Ti1 Ti 0.000 0.000 0.000
Se1 Se 0.500 0.500 0.500
S1 S 0.000 0.500 0.500
S2 S 0.500 0.000 0.500
N1 N 0.500 0.500 0.000
# symmetry: No. 123

---

Model ii:
# PBE TiSeS2N, optimized geometry
data_TiSeS2N
_chemical_formula_sum 'Ti1 Se1 S2 N1'
_space_group_name_H-M_alt 'P 1'
_space_group_IT_number 1
_space_group_name_Hall 'P 1'
_cell_length_a 4.859
_cell_length_b 4.859
_cell_length_c 3.745
_cell_angle_alpha 90.00
_cell_angle_beta 90.00
_cell_angle_gamma 90.00
loop_
_atom_site_label
_atom_site_type_symbol
_atom_site_fract_x
_atom_site_fract_y
_atom_site_fract_z
Ti1 Ti 0.000 0.000 0.000
Se1 Se 0.500 0.500 0.500
S1 S 0.000 0.500 0.000
S2 S 0.500 0.000 0.000
N1 N 0.000 0.000 0.500
# symmetry: No. 123

---

Most stable structure: model ii

---

Model i:
# PBE TlSe2SN, optimized geometry
data_TlSe2SN
_chemical_formula_sum 'Tl1 Se2 S1 N1'
_space_group_name_H-M_alt 'P 1'
_space_group_IT_number 1
_space_group_name_Hall 'P 1'
_cell_length_a 5.862
_cell_length_b 5.862
_cell_length_c 3.236
_cell_angle_alpha 90.00
_cell_angle_beta 90.00
_cell_angle_gamma 90.00
loop_
_atom_site_label
_atom_site_type_symbol
_atom_site_fract_x
_atom_site_fract_y
_atom_site_fract_z
Tl1 Tl 0.000 0.000 0.000
Se1 Se 0.000 0.500 0.500
Se2 Se 0.500 0.000 0.500
S1 S 0.500 0.500 0.500
N1 N 0.500 0.500 0.000
# symmetry: No. 123

---

Model ii:
# PBE TlSe2SN, optimized geometry
data_TlSe2SN
_chemical_formula_sum 'Tl1 Se2 S1 N1'
_space_group_name_H-M_alt 'P 1'
_space_group_IT_number 1
_space_group_name_Hall 'P 1'
_cell_length_a 5.479
_cell_length_b 5.479
_cell_length_c 4.278
_cell_angle_alpha 90.00
_cell_angle_beta 90.00
_cell_angle_gamma 90.00
loop_
_atom_site_label
_atom_site_type_symbol
_atom_site_fract_x
_atom_site_fract_y
_atom_site_fract_z
Tl1 Tl 0.000 0.000 0.000
Se1 Se 0.000 0.500 0.000
Se2 Se 0.500 0.000 0.000
S1 S 0.500 0.500 0.500
N1 N 0.000 0.000 0.500
# symmetry: No. 123

---

Most stable structure: model i

---

Model i:
# PBE VSeS2N, optimized geometry
data_VSeS2N
_chemical_formula_sum 'V1 Se1 S2 N1'
_space_group_name_H-M_alt 'P 1'
_space_group_IT_number 1
_space_group_name_Hall 'P 1'
_cell_length_a 4.739
_cell_length_b 4.739
_cell_length_c 3.624
_cell_angle_alpha 90.00
_cell_angle_beta 90.00
_cell_angle_gamma 90.00
loop_
_atom_site_label
_atom_site_type_symbol
_atom_site_fract_x
_atom_site_fract_y
_atom_site_fract_z
V1 V 0.000 0.000 0.000
Se1 Se 0.500 0.500 0.500
S1 S 0.000 0.500 0.000
S2 S 0.500 0.000 0.000
N1 N 0.000 0.000 0.500
# symmetry: No. 123

---

Model ii:
# PBE VSeS2N, optimized geometry
data_VSeS2N
_chemical_formula_sum 'V1 Se1 S2 N1'
_space_group_name_H-M_alt 'P 1'
_space_group_IT_number 1
_space_group_name_Hall 'P 1'
_cell_length_a 4.844
_cell_length_b 4.844
_cell_length_c 3.600
_cell_angle_alpha 90.00
_cell_angle_beta 90.00
_cell_angle_gamma 90.00
loop_
_atom_site_label
_atom_site_type_symbol
_atom_site_fract_x
_atom_site_fract_y
_atom_site_fract_z
V1 V 0.000 0.000 0.000
Se1 Se 0.500 0.500 0.500
S1 S 0.000 0.500 0.500
S2 S 0.500 0.000 0.500
N1 N 0.500 0.500 0.000
# symmetry: No. 123

---

Most stable structure: model i

---

Model i:
# PBE YSeSN2, optimized geometry
data_YSeSN2
_chemical_formula_sum 'Y1 Se1 S1 N2'
_space_group_name_H-M_alt 'P 1'
_space_group_IT_number 1
_space_group_name_Hall 'P 1'
_cell_length_a 3.915
_cell_length_b 3.915
_cell_length_c 4.750
_cell_angle_alpha 90.00
_cell_angle_beta 90.00
_cell_angle_gamma 90.00
loop_
_atom_site_label
_atom_site_type_symbol
_atom_site_fract_x
_atom_site_fract_y
_atom_site_fract_z
Y1 Y 0.000 0.000 0.000
Se1 Se 0.500 0.500 0.000
S1 S 0.500 0.500 0.500
N1 N 0.000 0.500 0.500
N2 N 0.500 0.000 0.500
# symmetry: No. 123

---

Model ii:
# PBE YSeSN2, optimized geometry
data_YSeSN2
_chemical_formula_sum 'Y1 Se1 S1 N2'
_space_group_name_H-M_alt 'P 1'
_space_group_IT_number 1
_space_group_name_Hall 'P 1'
_cell_length_a 3.956
_cell_length_b 3.956
_cell_length_c 4.756
_cell_angle_alpha 90.00
_cell_angle_beta 90.00
_cell_angle_gamma 90.00
loop_
_atom_site_label
_atom_site_type_symbol
_atom_site_fract_x
_atom_site_fract_y
_atom_site_fract_z
Y1 Y 0.000 0.000 0.000
Se1 Se 0.500 0.500 0.500
S1 S 0.500 0.500 0.000
N1 N 0.000 0.500 0.500
N2 N 0.500 0.000 0.500
# symmetry: No. 123

---

Model iii:
# PBE YSeSN2, optimized geometry
data_YSeSN2
_chemical_formula_sum 'Y1 Se1 S1 N2'
_space_group_name_H-M_alt 'P 1'
_space_group_IT_number 1
_space_group_name_Hall 'P 1'
_cell_length_a 4.465
_cell_length_b 4.465
_cell_length_c 5.586
_cell_angle_alpha 90.00
_cell_angle_beta 90.00
_cell_angle_gamma 90.00
loop_
_atom_site_label
_atom_site_type_symbol
_atom_site_fract_x
_atom_site_fract_y
_atom_site_fract_z
Y1 Y 0.000 0.000 0.000
Se1 Se 0.500 0.500 0.500
S1 S 0.000 0.000 0.500
N1 N 0.000 0.500 0.000
N2 N 0.500 0.000 0.000
# symmetry: No. 123

---

Most stable structure: model ii

---

Model i:
# PBE YSe2SN, optimized geometry
data_YSe2SN
_chemical_formula_sum 'Y1 Se2 S1 N1'
_space_group_name_H-M_alt 'P 1'
_space_group_IT_number 1
_space_group_name_Hall 'P 1'
_cell_length_a 5.542
_cell_length_b 5.542
_cell_length_c 4.209
_cell_angle_alpha 90.00
_cell_angle_beta 90.00
_cell_angle_gamma 90.00
loop_
_atom_site_label
_atom_site_type_symbol
_atom_site_fract_x
_atom_site_fract_y
_atom_site_fract_z
Y1 Y 0.000 0.000 0.000
Se1 Se 0.000 0.500 0.000
Se2 Se 0.500 0.000 0.000
S1 S 0.500 0.500 0.500
N1 N 0.000 0.000 0.500
# symmetry: No. 123

---

Model ii:
# PBE YSe2SN, optimized geometry
data_YSe2SN
_chemical_formula_sum 'Y1 Se2 S1 N1'
_space_group_name_H-M_alt 'P 1'
_space_group_IT_number 1
_space_group_name_Hall 'P 1'
_cell_length_a 5.085
_cell_length_b 5.085
_cell_length_c 3.577
_cell_angle_alpha 90.00
_cell_angle_beta 90.00
_cell_angle_gamma 90.00
loop_
_atom_site_label
_atom_site_type_symbol
_atom_site_fract_x
_atom_site_fract_y
_atom_site_fract_z
Y1 Y 0.000 0.000 0.000
Se1 Se 0.000 0.500 0.500
Se2 Se 0.500 0.000 0.500
S1 S 0.500 0.500 0.500
N1 N 0.500 0.500 0.000
# symmetry: No. 123

---

Most stable structure: model ii

---

Model i:
# PBE ZrSeS2N, optimized geometry
data_ZrSeS2N
_chemical_formula_sum 'Zr1 Se1 S2 N1'
_space_group_name_H-M_alt 'P 1'
_space_group_IT_number 1
_space_group_name_Hall 'P 1'
_cell_length_a 5.111
_cell_length_b 5.111
_cell_length_c 4.036
_cell_angle_alpha 90.00
_cell_angle_beta 90.00
_cell_angle_gamma 90.00
loop_
_atom_site_label
_atom_site_type_symbol
_atom_site_fract_x
_atom_site_fract_y
_atom_site_fract_z
Zr1 Zr 0.000 0.000 0.000
Se1 Se 0.500 0.500 0.500
S1 S 0.000 0.500 0.000
S2 S 0.500 0.000 0.000
N1 N 0.000 0.000 0.500
# symmetry: No. 123

---

Model ii:
# PBE ZrSeS2N, optimized geometry
data_ZrSeS2N
_chemical_formula_sum 'Zr1 Se1 S2 N1'
_space_group_name_H-M_alt 'P 1'
_space_group_IT_number 1
_space_group_name_Hall 'P 1'
_cell_length_a 4.885
_cell_length_b 4.885
_cell_length_c 3.617
_cell_angle_alpha 90.00
_cell_angle_beta 90.00
_cell_angle_gamma 90.00
loop_
_atom_site_label
_atom_site_type_symbol
_atom_site_fract_x
_atom_site_fract_y
_atom_site_fract_z
Zr1 Zr 0.000 0.000 0.000
Se1 Se 0.500 0.500 0.500
S1 S 0.000 0.500 0.500
S2 S 0.500 0.000 0.500
N1 N 0.500 0.500 0.000
# symmetry: No. 123

---

Most stable structure: model i